No. 1
The following is a PBE calculation of a relaxed structure of MnTeP, from Alexandria via LeMat-Bulk.

Cell: 6.3052 6.3052 6.3052 Å, 151.41 151.41 40.87°
Last column: nearest neighbours and their distance in Å.
Fractional coordinates of all 3 atoms:
P 0.3848 0.3848 0.0000  4 Mn 2.44
Te 0.6415 0.6415 0.0000  4 Mn 2.96, 1 P 3.03, 4 Te 3.11
Mn 0.9737 0.9737 0.0000  4 P 2.44

Computed properties:
The value obtained for the energy above the most stable polymorph in this dataset is 316 meV per atom. The uncorrected formation energy is 0.152 eV/atom. Its total DFT energy (no corrections) is -0.4230 Ry/atom. The size of the total moment is 2.53 μB per formula unit. The crystal system is tetragonal. As for the space group: I4mm (107).

No. 2
The following is a PBE calculation of a relaxed structure of Mn2TeP, from Alexandria via LeMat-Bulk.

Cell: 4.4713 4.4713 4.4713 Å, 60.00 60.00 60.00°
Last column: nearest neighbours and their distance in Å.
Fractional coordinates of all 4 atoms:
Mn 0.2500 0.2500 0.2500  4 Mn 2.74, 4 P 2.74
P 0.5000 0.5000 0.5000  4 Te 2.74, 4 Mn 2.74
Te 0.7500 0.7500 0.7500  4 Mn 2.74, 4 P 2.74
Mn 0.0000 0.0000 0.0000  4 Mn 2.74, 4 Te 2.74

Computed properties:
The value obtained for the energy above the most stable polymorph in this dataset is 753 meV per atom. The uncorrected formation energy is 0.590 eV/atom. Its total DFT energy (no corrections) is -0.4507 Ry/atom. The size of the total moment is 5.17 μB per formula unit. The crystal system is cubic. As for the space group: F-43m (216).

No. 3
The following is a PBE calculation of a relaxed structure of Mn2TeP, from Alexandria via LeMat-Bulk.

Cell: 5.9168 5.9168 7.1441 Å, 65.54 65.54 90.00°
Last column: nearest neighbours and their distance in Å.
Fractional coordinates of all 8 atoms:
Te 0.0000 0.0000 0.0000  4 Mn 2.73
Mn 0.1747 0.6250 0.2500  2 P 2.39
Mn 0.8750 0.8253 0.7500  2 P 2.39
P 0.5000 0.5000 0.0000  4 Mn 2.39
P 0.2500 0.7500 0.5000  4 Mn 2.39
Te 0.7500 0.2500 0.5000  4 Mn 2.73
Mn 0.5753 0.1250 0.2500  2 P 2.39
Mn 0.3750 0.4247 0.7500  2 P 2.39

Computed properties:
The value obtained for the energy above the most stable polymorph in this dataset is 221 meV per atom. The uncorrected formation energy is 0.059 eV/atom. Its total DFT energy (no corrections) is -0.4898 Ry/atom. The size of the total moment is 8.83 μB per formula unit. The crystal system is tetragonal. As for the space group: I-42d (122).

No. 4
The following is a PBE calculation of a relaxed structure of Mn2TeP, from Alexandria via LeMat-Bulk.

Cell: 4.2524 4.2524 4.2524 Å, 60.00 60.00 60.00°
Last column: nearest neighbours and their distance in Å.
Fractional coordinates of all 4 atoms:
Mn 0.7500 0.7500 0.7500  4 Te 2.60, 4 P 2.60
Mn 0.2500 0.2500 0.2500  4 Te 2.60, 4 P 2.60
P 0.0000 0.0000 0.0000  8 Mn 2.60
Te 0.5000 0.5000 0.5000  8 Mn 2.60

Computed properties:
The value obtained for the energy above the most stable polymorph in this dataset is 459 meV per atom. The uncorrected formation energy is 0.296 eV/atom. Its total DFT energy (no corrections) is -0.4723 Ry/atom. The size of the total moment is 0.00 μB per formula unit. The crystal system is cubic. As for the space group: Fm-3m (225).

No. 5
The following is a PBE calculation of a relaxed structure of MnTe4P, from Alexandria via LeMat-Bulk.

Cell: 6.2144 6.2144 6.2144 Å, 60.00 60.00 60.00°
Last column: nearest neighbours and their distance in Å.
Fractional coordinates of all 6 atoms:
Te 0.8765 0.3745 0.3745  6 Te 3.09-3.12
Te 0.3745 0.3745 0.3745  6 Te 3.09-3.12
Mn 0.7500 0.7500 0.7500  12 Te 3.64, 4 P 3.81
Te 0.3745 0.8765 0.3745  6 Te 3.09-3.12
Te 0.3745 0.3745 0.8765  6 Te 3.09-3.12
P 0.0000 0.0000 0.0000  12 Te 3.64, 4 Mn 3.81

Computed properties:
The uncorrected formation energy is 0.955 eV/atom. Its total DFT energy (no corrections) is -0.2624 Ry/atom. The size of the total moment is 4.66 μB per formula unit. The crystal system is cubic. As for the space group: F-43m (216).

No. 6
The following is a PBE calculation of a relaxed structure of Mn2TeP, from Alexandria via LeMat-Bulk.

Cell: 6.4024 6.4024 6.4024 Å, 149.66 150.33 42.95°
Last column: nearest neighbours and their distance in Å.
Fractional coordinates of all 4 atoms:
Mn 0.0089 0.0089 0.0000  4 P 2.42
Te 0.7092 0.2092 0.5000  6 Mn 2.72-2.90
Mn 0.3246 0.8246 0.5000  2 P 2.30
P 0.4572 0.4572 0.0000  6 Mn 2.30-2.42

Computed properties:
The value obtained for the energy above the most stable polymorph in this dataset is 69 meV per atom. The uncorrected formation energy is -0.094 eV/atom. Its total DFT energy (no corrections) is -0.5010 Ry/atom. The size of the total moment is 4.78 μB per formula unit. The crystal system is orthorhombic. As for the space group: Imm2 (44).

No. 7
The following is a PBE calculation of a relaxed structure of Th2Mn12P7, from Alexandria via LeMat-Bulk.

Cell: 3.6997 9.3129 9.3130 Å, 120.00 90.00 90.00°
Last column: nearest neighbours and their distance in Å.
Fractional coordinates of all 21 atoms:
Mn 0.5000 0.1076 0.2253  5 P 2.40-2.59, 1 Mn 2.66
Mn 0.0000 0.8784 0.7259  4 P 2.22-2.29
Mn 0.5000 0.7747 0.8823  5 P 2.40-2.59, 1 Mn 2.66
Mn 0.0000 0.8476 0.1216  4 P 2.22-2.29
Mn 0.0000 0.3752 0.9491  4 P 2.36-2.39, 1 Mn 2.50
P 0.0000 0.5963 0.8887  7 Mn 2.26-2.51
P 0.0000 0.2924 0.4037  7 Mn 2.26-2.51
Mn 0.0000 0.2741 0.1524  4 P 2.22-2.29
P 0.0000 0.0000 0.0000  3 Mn 2.22
P 0.5000 0.3989 0.1179  7 Mn 2.29-2.40
Mn 0.5000 0.6086 0.0464  4 P 2.33-2.39
P 0.5000 0.7190 0.6011  7 Mn 2.29-2.40
P 0.5000 0.8821 0.2810  7 Mn 2.29-2.40
Th 0.0000 0.6667 0.3333  6 P 2.94, 12 Mn 3.07-3.23
Mn 0.0000 0.5739 0.6248  4 P 2.36-2.39, 1 Mn 2.50
Th 0.5000 0.3333 0.6667  6 P 2.94, 9 Mn 3.08-3.16
Mn 0.5000 0.1177 0.8924  5 P 2.40-2.59, 1 Mn 2.66
P 0.0000 0.1113 0.7076  7 Mn 2.26-2.51
Mn 0.5000 0.9536 0.5622  4 P 2.33-2.39
Mn 0.0000 0.0509 0.4261  4 P 2.36-2.39, 1 Mn 2.50
Mn 0.5000 0.4378 0.3914  4 P 2.33-2.39

Computed properties:
The value obtained for the calculated formation energy is -0.67 eV/atom. Its total DFT energy (no corrections) is -0.6189 Ry/atom. The size of the total moment is 13.38 μB per formula unit. The crystal system is hexagonal. As for the space group: P-6 (174).

No. 8
The following is a PBE calculation of a relaxed structure of ThMn3P3, from Alexandria via LeMat-Bulk.

Cell: 6.2239 6.2239 6.2239 Å, 90.00 90.00 90.00°
Last column: nearest neighbours and their distance in Å.
Fractional coordinates of all 14 atoms:
Mn 0.5000 0.2500 0.0000  4 P 2.20
P 0.0000 0.2500 0.5000  4 Mn 2.20
P 0.2500 0.5000 0.0000  4 Mn 2.20
Mn 0.0000 0.5000 0.2500  4 P 2.20
Th 0.0000 0.0000 0.0000  12 Mn 3.48, 12 P 3.48
Mn 0.7500 0.0000 0.5000  4 P 2.20
P 0.5000 0.0000 0.2500  4 Mn 2.20
Mn 0.0000 0.5000 0.7500  4 P 2.20
Mn 0.2500 0.0000 0.5000  4 P 2.20
Th 0.5000 0.5000 0.5000  12 Mn 3.48, 12 P 3.48
P 0.7500 0.5000 0.0000  4 Mn 2.20
Mn 0.5000 0.7500 0.0000  4 P 2.20
P 0.0000 0.7500 0.5000  4 Mn 2.20
P 0.5000 0.0000 0.7500  4 Mn 2.20

Computed properties:
The value obtained for the calculated formation energy is -0.37 eV/atom. Its total DFT energy (no corrections) is -0.5646 Ry/atom. The size of the total moment is 6.10 μB per formula unit. The crystal system is cubic. As for the space group: Pm-3n (223).

No. 9
The following is a PBE calculation of a relaxed structure of ThMn4P12, from Alexandria via LeMat-Bulk.

Cell: 6.8674 6.8674 6.8674 Å, 109.47 109.47 109.47°
Last column: nearest neighbours and their distance in Å.
Fractional coordinates of all 17 atoms:
P 0.3521 0.2031 0.8510  2 Mn 2.29, 2 P 2.35-2.36
P 0.1490 0.3521 0.5011  2 Mn 2.29, 2 P 2.35-2.36
P 0.6479 0.7969 0.1490  2 Mn 2.29, 2 P 2.35-2.36
P 0.6479 0.4989 0.8510  2 Mn 2.29, 2 P 2.35-2.36
Th 0.0000 0.0000 0.0000  12 P 3.03
P 0.2031 0.8510 0.3521  2 Mn 2.29, 2 P 2.35-2.36
P 0.8510 0.3521 0.2031  2 Mn 2.29, 2 P 2.35-2.36
P 0.3521 0.5011 0.1490  2 Mn 2.29, 2 P 2.35-2.36
Mn 0.5000 0.5000 0.5000  6 P 2.29
P 0.7969 0.1490 0.6479  2 Mn 2.29, 2 P 2.35-2.36
Mn 0.0000 0.5000 0.0000  6 P 2.29
P 0.4989 0.8510 0.6479  2 Mn 2.29, 2 P 2.35-2.36
P 0.1490 0.6479 0.7969  2 Mn 2.29, 2 P 2.35-2.36
Mn 0.5000 0.0000 0.0000  6 P 2.29
P 0.5011 0.1490 0.3521  2 Mn 2.29, 2 P 2.35-2.36
Mn 0.0000 0.0000 0.5000  6 P 2.29
P 0.8510 0.6479 0.4989  2 Mn 2.29, 2 P 2.35-2.36

Computed properties:
The value obtained for the calculated formation energy is -0.51 eV/atom. Its total DFT energy (no corrections) is -0.5085 Ry/atom. The size of the total moment is 3.98 μB per formula unit. The crystal system is cubic. As for the space group: Im-3 (204).

No. 10
The following is a PBE calculation of a relaxed structure of ThMnVP2, from Alexandria via LeMat-Bulk.

Cell: 3.7567 3.7567 6.5068 Å, 106.78 106.78 90.00°
Last column: nearest neighbours and their distance in Å.
Fractional coordinates of all 5 atoms:
P 0.6292 0.6292 0.2584  2 Mn 2.36, 2 V 2.36
V 0.7500 0.2500 0.5000  4 P 2.36
Th 0.0000 0.0000 0.0000  8 P 3.07
P 0.3708 0.3708 0.7416  2 V 2.36, 2 Mn 2.36
Mn 0.2500 0.7500 0.5000  4 P 2.36

Computed properties:
The value obtained for the calculated formation energy is -0.91 eV/atom. Its total DFT energy (no corrections) is -0.6040 Ry/atom. The size of the total moment is 1.93 μB per formula unit. The crystal system is tetragonal. As for the space group: I-4m2 (119).

No. 11
The following is a PBE calculation of a relaxed structure of TiMnP3, from Alexandria via LeMat-Bulk.

Cell: 4.6246 4.6246 4.6246 Å, 90.00 90.00 90.00°
Last column: nearest neighbours and their distance in Å.
Fractional coordinates of all 5 atoms:
Mn 0.5000 0.5000 0.5000  12 P 3.27
P 0.0000 0.5000 0.0000  2 Ti 2.31
P 0.5000 0.0000 0.0000  2 Ti 2.31
Ti 0.0000 0.0000 0.0000  6 P 2.31
P 0.0000 0.0000 0.5000  2 Ti 2.31

Computed properties:
The value obtained for the energy above the most stable polymorph in this dataset is 576 meV per atom. The value obtained for the calculated formation energy is 0.94 eV/atom. Its total DFT energy (no corrections) is -0.4204 Ry/atom. The size of the total moment is 0.41 μB per formula unit. The crystal system is cubic. As for the space group: Pm-3m (221).